i | {
  "formula": "CdPtIN2",
  "functional": "PBE-GGA",
  "state": "optimized geometry",
  "cell": [[4.021, 0.000, 0.000], [0.000, 4.021, 0.000], [0.000, 0.000, 6.732]],
  "species": ["I", "N", "N", "Pt", "Cd"],
  "fractional_positions": [[0.000, 0.000, 0.500], [0.000, 0.500, 0.000], [0.500, 0.000, 0.000], [0.500, 0.500, 0.500], [0.000, 0.000, 0.000]],
  "magmom_total_mub_per_cell": 3.79
}

---

ii | {
  "formula": "CdPtIN2",
  "functional": "PBE-GGA",
  "state": "optimized geometry",
  "cell": [[-3.906, 0.461, -0.183], [-0.386, -3.738, -1.173], [-0.625, -2.301, 7.542]],
  "species": ["I", "N", "N", "Pt", "Cd"],
  "fractional_positions": [[0.000, 0.000, 0.500], [0.000, 0.500, 0.000], [0.500, 0.000, 0.000], [0.000, 0.000, 0.000], [0.500, 0.500, 0.500]],
  "magmom_total_mub_per_cell": 1.02
}

---

ii is favored, and the nearest alternative lies 0.803 eV/atom above it.

---

i | {
  "formula": "CdPtI2N",
  "functional": "PBE-GGA",
  "state": "optimized geometry",
  "cell": [[5.827, 0.000, 0.000], [0.000, 5.827, 0.000], [0.000, 0.000, 3.756]],
  "species": ["I", "I", "N", "Pt", "Cd"],
  "fractional_positions": [[0.000, 0.500, 0.000], [0.500, 0.000, 0.000], [0.000, 0.000, 0.500], [0.000, 0.000, 0.000], [0.500, 0.500, 0.500]],
  "magmom_total_mub_per_cell": 0.00
}

---

ii | {
  "formula": "CdPtI2N",
  "functional": "PBE-GGA",
  "state": "optimized geometry",
  "cell": [[5.887, 0.000, 0.000], [0.000, 5.887, 0.000], [0.000, 0.000, 4.177]],
  "species": ["I", "I", "N", "Pt", "Cd"],
  "fractional_positions": [[0.000, 0.500, 0.000], [0.500, 0.000, 0.000], [0.000, 0.000, 0.500], [0.500, 0.500, 0.500], [0.000, 0.000, 0.000]],
  "magmom_total_mub_per_cell": 3.06
}

---

i is favored, and the nearest alternative lies 0.918 eV/atom above it.

---

i | {
  "formula": "RbCdI2N",
  "functional": "PBE-GGA",
  "state": "optimized geometry",
  "cell": [[-2.918, -5.009, 2.447], [0.005, -2.765, -5.652], [3.944, -1.853, 0.910]],
  "species": ["I", "I", "N", "Rb", "Cd"],
  "fractional_positions": [[0.000, 0.500, 0.000], [0.500, 0.000, 0.000], [0.000, 0.000, 0.500], [0.500, 0.500, 0.500], [0.000, 0.000, 0.000]],
  "magmom_total_mub_per_cell": 2.00
}

---

ii | {
  "formula": "RbCdI2N",
  "functional": "PBE-GGA",
  "state": "optimized geometry",
  "cell": [[6.891, 0.000, 0.000], [0.000, 6.891, 0.000], [0.000, 0.000, 5.557]],
  "species": ["I", "I", "N", "Rb", "Cd"],
  "fractional_positions": [[0.000, 0.500, 0.000], [0.500, 0.000, 0.000], [0.000, 0.000, 0.500], [0.000, 0.000, 0.000], [0.500, 0.500, 0.500]],
  "magmom_total_mub_per_cell": 3.04
}

---

i is favored, and the nearest alternative lies 0.797 eV/atom above it.

---

i | {
  "formula": "RbCdIN2",
  "functional": "PBE-GGA",
  "state": "optimized geometry",
  "cell": [[4.802, 0.000, 0.000], [0.000, 4.802, 0.000], [0.000, 0.000, 6.337]],
  "species": ["I", "N", "N", "Rb", "Cd"],
  "fractional_positions": [[0.000, 0.000, 0.500], [0.000, 0.500, 0.000], [0.500, 0.000, 0.000], [0.500, 0.500, 0.500], [0.000, 0.000, 0.000]],
  "magmom_total_mub_per_cell": 4.00
}

---

ii | {
  "formula": "RbCdIN2",
  "functional": "PBE-GGA",
  "state": "optimized geometry",
  "cell": [[-0.898, -2.031, 5.107], [-1.705, -4.817, -2.215], [6.853, -2.520, 0.203]],
  "species": ["I", "N", "N", "Rb", "Cd"],
  "fractional_positions": [[0.000, 0.000, 0.500], [0.000, 0.500, 0.000], [0.500, 0.000, 0.000], [0.000, 0.000, 0.000], [0.500, 0.500, 0.500]],
  "magmom_total_mub_per_cell": 5.25
}

---

i is favored, and the nearest alternative lies 0.684 eV/atom above it.

---

i | {
  "formula": "CdReI2N",
  "functional": "PBE-GGA",
  "state": "optimized geometry",
  "cell": [[-4.056, 3.390, -3.092], [-1.083, -4.718, -3.751], [-3.109, -1.351, 2.597]],
  "species": ["I", "I", "Re", "N", "Cd"],
  "fractional_positions": [[0.000, 0.500, 0.000], [0.500, 0.000, 0.000], [0.500, 0.500, 0.500], [0.000, 0.000, 0.500], [0.000, 0.000, 0.000]],
  "magmom_total_mub_per_cell": 7.72
}

---

ii | {
  "formula": "CdReI2N",
  "functional": "PBE-GGA",
  "state": "optimized geometry",
  "cell": [[-1.050, -5.139, -2.170], [5.266, -1.642, 1.340], [-1.232, -1.182, 3.394]],
  "species": ["I", "I", "Re", "N", "Cd"],
  "fractional_positions": [[0.000, 0.500, 0.000], [0.500, 0.000, 0.000], [0.000, 0.000, 0.000], [0.000, 0.000, 0.500], [0.500, 0.500, 0.500]],
  "magmom_total_mub_per_cell": 0.00
}

---

ii is favored, and the nearest alternative lies 1.403 eV/atom above it.

---

i | {
  "formula": "CdRuI2N",
  "functional": "PBE-GGA",
  "state": "optimized geometry",
  "cell": [[5.643, 0.000, 0.000], [0.000, 5.643, 0.000], [0.000, 0.000, 3.746]],
  "species": ["I", "I", "Ru", "N", "Cd"],
  "fractional_positions": [[0.000, 0.500, 0.000], [0.500, 0.000, 0.000], [0.000, 0.000, 0.000], [0.000, 0.000, 0.500], [0.500, 0.500, 0.500]],
  "magmom_total_mub_per_cell": 0.00
}

---

ii | {
  "formula": "CdRuI2N",
  "functional": "PBE-GGA",
  "state": "optimized geometry",
  "cell": [[5.997, 0.000, 0.000], [0.000, 5.997, 0.000], [0.000, 0.000, 4.196]],
  "species": ["I", "I", "Ru", "N", "Cd"],
  "fractional_positions": [[0.000, 0.500, 0.000], [0.500, 0.000, 0.000], [0.500, 0.500, 0.500], [0.000, 0.000, 0.500], [0.000, 0.000, 0.000]],
  "magmom_total_mub_per_cell": 5.02
}

---

i is favored, and the nearest alternative lies 1.142 eV/atom above it.

---

i | {
  "formula": "CdSIN2",
  "functional": "PBE-GGA",
  "state": "optimized geometry",
  "cell": [[3.865, 0.000, 0.000], [0.000, 3.865, 0.000], [0.000, 0.000, 7.136]],
  "species": ["I", "S", "N", "N", "Cd"],
  "fractional_positions": [[0.000, 0.000, 0.500], [0.000, 0.000, 0.000], [0.000, 0.500, 0.000], [0.500, 0.000, 0.000], [0.500, 0.500, 0.500]],
  "magmom_total_mub_per_cell": 0.81
}

---

ii | {
  "formula": "CdSIN2",
  "functional": "PBE-GGA",
  "state": "optimized geometry",
  "cell": [[-3.032, 2.764, 1.220], [-2.583, -1.474, -3.078], [-2.458, -4.574, 4.253]],
  "species": ["I", "S", "N", "N", "Cd"],
  "fractional_positions": [[0.000, 0.000, 0.500], [0.500, 0.500, 0.500], [0.000, 0.500, 0.000], [0.500, 0.000, 0.000], [0.000, 0.000, 0.000]],
  "magmom_total_mub_per_cell": 4.03
}

---

i is favored, and the nearest alternative lies 0.233 eV/atom above it.

---

i | {
  "formula": "CdSb2IN",
  "functional": "PBE-GGA",
  "state": "optimized geometry",
  "cell": [[-3.730, 0.200, -3.187], [3.078, -1.080, -3.670], [-0.842, -4.738, 0.688]],
  "species": ["I", "Sb", "Sb", "N", "Cd"],
  "fractional_positions": [[0.000, 0.000, 0.500], [0.000, 0.500, 0.000], [0.500, 0.000, 0.000], [0.000, 0.000, 0.000], [0.500, 0.500, 0.500]],
  "magmom_total_mub_per_cell": 0.00
}

---

ii | {
  "formula": "CdSb2IN",
  "functional": "PBE-GGA",
  "state": "optimized geometry",
  "cell": [[5.553, 0.000, 0.000], [0.000, 5.553, 0.000], [0.000, 0.000, 5.659]],
  "species": ["I", "Sb", "Sb", "N", "Cd"],
  "fractional_positions": [[0.000, 0.000, 0.500], [0.000, 0.500, 0.000], [0.500, 0.000, 0.000], [0.500, 0.500, 0.500], [0.000, 0.000, 0.000]],
  "magmom_total_mub_per_cell": 0.00
}

---

i is favored, and the nearest alternative lies 1.121 eV/atom above it.

---

i | {
  "formula": "CdSbI2N",
  "functional": "PBE-GGA",
  "state": "optimized geometry",
  "cell": [[5.710, 0.000, 0.000], [0.000, 5.710, 0.000], [0.000, 0.000, 5.723]],
  "species": ["I", "I", "Sb", "N", "Cd"],
  "fractional_positions": [[0.000, 0.500, 0.000], [0.500, 0.000, 0.000], [0.000, 0.000, 0.500], [0.500, 0.500, 0.500], [0.000, 0.000, 0.000]],
  "magmom_total_mub_per_cell": 0.00
}

---

ii | {
  "formula": "CdSbI2N",
  "functional": "PBE-GGA",
  "state": "optimized geometry",
  "cell": [[6.267, 0.000, 0.000], [0.000, 6.267, 0.000], [0.000, 0.000, 3.993]],
  "species": ["I", "I", "Sb", "N", "Cd"],
  "fractional_positions": [[0.000, 0.500, 0.000], [0.500, 0.000, 0.000], [0.000, 0.000, 0.000], [0.000, 0.000, 0.500], [0.500, 0.500, 0.500]],
  "magmom_total_mub_per_cell": 0.00
}

---

ii is favored, and the nearest alternative lies 1.139 eV/atom above it.

---

i | {
  "formula": "CdSbI2N",
  "functional": "PBE-GGA",
  "state": "optimized geometry",
  "cell": [[-4.194, -1.980, -1.780], [2.636, -2.624, -3.293], [0.380, -3.805, 3.336]],
  "species": ["I", "I", "Sb", "N", "Cd"],
  "fractional_positions": [[0.000, 0.500, 0.000], [0.500, 0.000, 0.000], [0.000, 0.000, 0.500], [0.000, 0.000, 0.000], [0.500, 0.500, 0.500]],
  "magmom_total_mub_per_cell": 0.00
}

---

ii | {
  "formula": "CdSbI2N",
  "functional": "PBE-GGA",
  "state": "optimized geometry",
  "cell": [[-3.172, -3.022, -4.232], [4.383, 1.116, -4.081], [1.919, -3.543, 1.092]],
  "species": ["I", "I", "Sb", "N", "Cd"],
  "fractional_positions": [[0.000, 0.500, 0.000], [0.500, 0.000, 0.000], [0.500, 0.500, 0.500], [0.000, 0.000, 0.500], [0.000, 0.000, 0.000]],
  "magmom_total_mub_per_cell": 1.92
}

---

i is favored, and the nearest alternative lies 0.040 eV/atom above it.

---

i | {
  "formula": "CdSbIN2",
  "functional": "PBE-GGA",
  "state": "optimized geometry",
  "cell": [[-1.232, -1.509, -4.111], [-0.824, -4.114, 1.757], [-5.867, 1.665, 1.147]],
  "species": ["I", "Sb", "N", "N", "Cd"],
  "fractional_positions": [[0.000, 0.000, 0.500], [0.500, 0.500, 0.500], [0.000, 0.500, 0.000], [0.500, 0.000, 0.000], [0.000, 0.000, 0.000]],
  "magmom_total_mub_per_cell": 2.77
}

---

ii | {
  "formula": "CdSbIN2",
  "functional": "PBE-GGA",
  "state": "optimized geometry",
  "cell": [[4.133, 0.000, 0.000], [0.000, 4.133, 0.000], [0.000, 0.000, 7.068]],
  "species": ["I", "Sb", "N", "N", "Cd"],
  "fractional_positions": [[0.000, 0.000, 0.500], [0.000, 0.000, 0.000], [0.000, 0.500, 0.000], [0.500, 0.000, 0.000], [0.500, 0.500, 0.500]],
  "magmom_total_mub_per_cell": 0.00
}

---

ii is favored, and the nearest alternative lies 0.572 eV/atom above it.

---

i | {
  "formula": "ScCdIN2",
  "functional": "PBE-GGA",
  "state": "optimized geometry",
  "cell": [[4.193, 0.000, 0.000], [0.000, 4.193, 0.000], [0.000, 0.000, 6.181]],
  "species": ["I", "Sc", "N", "N", "Cd"],
  "fractional_positions": [[0.000, 0.000, 0.500], [0.000, 0.000, 0.000], [0.000, 0.500, 0.000], [0.500, 0.000, 0.000], [0.500, 0.500, 0.500]],
  "magmom_total_mub_per_cell": 0.46
}

---

ii | {
  "formula": "ScCdIN2",
  "functional": "PBE-GGA",
  "state": "optimized geometry",
  "cell": [[4.309, 0.000, 0.000], [0.000, 4.309, 0.000], [0.000, 0.000, 5.805]],
  "species": ["I", "Sc", "N", "N", "Cd"],
  "fractional_positions": [[0.000, 0.000, 0.500], [0.500, 0.500, 0.500], [0.000, 0.500, 0.000], [0.500, 0.000, 0.000], [0.000, 0.000, 0.000]],
  "magmom_total_mub_per_cell": 1.64
}

---

i is favored, and the nearest alternative lies 0.786 eV/atom above it.

---

i | {
  "formula": "ScCdI2N",
  "functional": "PBE-GGA",
  "state": "optimized geometry",
  "cell": [[-1.741, -5.209, 2.304], [5.696, -1.580, 0.732], [-0.020, 1.642, 3.697]],
  "species": ["I", "I", "Sc", "N", "Cd"],
  "fractional_positions": [[0.000, 0.500, 0.000], [0.500, 0.000, 0.000], [0.500, 0.500, 0.500], [0.000, 0.000, 0.500], [0.000, 0.000, 0.000]],
  "magmom_total_mub_per_cell": 0.00
}

---

ii | {
  "formula": "ScCdI2N",
  "functional": "PBE-GGA",
  "state": "optimized geometry",
  "cell": [[5.986, 0.000, 0.000], [0.000, 5.986, 0.000], [0.000, 0.000, 4.003]],
  "species": ["I", "I", "Sc", "N", "Cd"],
  "fractional_positions": [[0.000, 0.500, 0.000], [0.500, 0.000, 0.000], [0.000, 0.000, 0.000], [0.000, 0.000, 0.500], [0.500, 0.500, 0.500]],
  "magmom_total_mub_per_cell": 0.98
}

---

ii is favored, and the nearest alternative lies 0.830 eV/atom above it.